The following is a DFT calculation (PBE) of an optimized crystal structure of Sr4ReTe.

The calculation puts the total magnetization at 6.6 Bohr magnetons per cell. As for the calculated total energy: -2.759 eV/atom. The uncorrected formation energy comes out at 0.96 eV per atom.

The structure belongs to space group F-43m (No. 216); the cell edges are 9.525, 9.525 and 9.525 Å and the angles 90.00°, 90.00° and 90.00°. The distinct sites, in fractional coordinates, are Sr at (0.124, 0.124, 0.376), Re at (0.250, 0.250, 0.750) and Te at (0.000, 0.000, 0.000).

=====

The following is a DFT calculation (PBE) of an optimized crystal structure of Pr2Ni4Sn3Pd.

The calculation puts the total magnetization at 0.0 Bohr magnetons per cell. As for the calculated total energy: -5.480 eV/atom. Its formation enthalpy at 0 K is -0.49 eV/atom.

The structure belongs to space group P-4m2 (No. 115); the cell edges are 4.285, 4.285 and 10.725 Å and the angles 90.00°, 90.00° and 90.00°. The distinct sites, in fractional coordinates, are Pr at (0.000, 0.500, 0.244), Ni at (0.000, 0.000, 0.500), Ni at (0.000, 0.500, 0.862), Ni at (0.500, 0.500, 0.500), Sn at (0.000, 0.000, 0.000), Sn at (0.000, 0.500, 0.626) and Pd at (0.500, 0.500, 0.000).